# 1
Here is a relaxed structure of BeAl2Mo from Alexandria. Energies are from PBEsol.

Cell: 3.5962 3.5962 4.8226 Å, 111.89 111.89 90.00°
With the nearest neighbours (Å) after each atom.
Atoms (fractional coordinates):
Mo 0.2500 0.7500 0.5000  8 Al 2.54-2.73, 4 Be 2.73
Be 0.5000 0.5000 0.0000  8 Al 2.54-2.73, 4 Mo 2.73
Al 0.7500 0.2500 0.5000  4 Mo 2.54, 4 Be 2.73, 4 Al 2.73
Al 0.0000 0.0000 0.0000  4 Be 2.54, 4 Mo 2.73, 4 Al 2.73

Results
D(E_F) = 0.6 states/eV/cell
E = -6.22 eV per atom

---

# 2
Here is a relaxed structure of AlTc2Ru from Alexandria. Energies are from PBEsol.

Cell: 2.9276 2.9276 6.3436 Å, 90.00 90.00 90.00°
With the nearest neighbours (Å) after each atom.
Atoms (fractional coordinates):
Tc 0.0000 0.0000 0.0030  4 Tc 2.60, 4 Ru 2.66
Tc 0.5000 0.5000 0.2518  4 Tc 2.60, 4 Al 2.62
Ru 0.5000 0.5000 0.7406  4 Al 2.56, 4 Tc 2.66
Al 0.0000 0.0000 0.5045  4 Ru 2.56, 4 Tc 2.62

Results
Distance to the lowest polymorph of the same formula = 0.000 eV per atom
D(E_F) = 3.2 states/eV/cell
E = -9.42 eV per atom

---

# 3
Here is a relaxed structure of MnCu2Re from Alexandria. Energies are from PBEsol.

Cell: 2.5568 3.6960 5.1869 Å, 90.00 90.00 90.00°
With the nearest neighbours (Å) after each atom.
Atoms (fractional coordinates):
Mn 0.0000 0.0000 0.5072  4 Re 2.54, 6 Cu 2.55-2.64, 2 Mn 2.56
Re 0.5000 0.5000 0.7373  4 Mn 2.54, 2 Re 2.56, 6 Cu 2.58-2.67
Cu 0.0000 0.0000 0.0156  6 Cu 2.53-2.56, 2 Mn 2.55-2.64, 4 Re 2.67
Cu 0.5000 0.5000 0.2398  6 Cu 2.53-2.56, 2 Re 2.58-2.61, 4 Mn 2.64

Results
Distance to the lowest polymorph of the same formula = 0.000 eV per atom
D(E_F) = 2.9 states/eV/cell
E = -7.71 eV per atom

---

# 4
Here is a relaxed structure of Ge3Rh5 from Alexandria. Energies are from PBEsol.

Cell: 3.9796 5.3882 10.3002 Å, 90.00 90.00 90.00°
With the nearest neighbours (Å) after each atom.
Atoms (fractional coordinates):
Ge 0.5000 0.3897 0.1505  6 Rh 2.41-2.59
Ge 0.0000 0.0000 0.0000  6 Rh 2.40-2.45
Ge 0.5000 0.8897 0.3495  6 Rh 2.41-2.59
Ge 0.5000 0.1103 0.6505  6 Rh 2.41-2.59
Ge 0.5000 0.6103 0.8495  6 Rh 2.41-2.59
Ge 0.0000 0.5000 0.5000  6 Rh 2.40-2.45
Rh 0.5000 0.8300 0.1069  4 Ge 2.41-2.52
Rh 0.0000 0.3486 0.7191  3 Ge 2.40-2.47
Rh 0.0000 0.0000 0.5000  6 Ge 2.59-2.69, 4 Rh 2.89
Rh 0.0000 0.8486 0.7809  3 Ge 2.40-2.47
Rh 0.0000 0.6514 0.2809  3 Ge 2.40-2.47
Rh 0.5000 0.1700 0.8931  4 Ge 2.41-2.52
Rh 0.5000 0.6700 0.6069  4 Ge 2.41-2.52
Rh 0.0000 0.1514 0.2191  3 Ge 2.40-2.47
Rh 0.0000 0.5000 0.0000  6 Ge 2.59-2.69, 4 Rh 2.89
Rh 0.5000 0.3300 0.3931  4 Ge 2.41-2.52

Results
D(E_F) = 11.5 states/eV/cell
E = -7.44 eV per atom